Record 1
! AcNd12Er2 (PBE, relaxed); values from VASP
&SYSTEM
  ibrav = 0, nat = 30, ntyp = 3
/
ATOMIC_SPECIES
Ac 227.00 Ac.upf
Nd 144.24 Nd.upf
Er 167.26 Er.upf
CELL_PARAMETERS angstrom
3.608 -5.851 0.000
3.608 5.851 0.000
0.000 0.000 25.365
ATOMIC_POSITIONS crystal
Ac 0.250 0.750 0.986
Ac 0.750 0.250 0.014
Nd 0.011 0.511 0.859
Nd 0.019 0.519 0.416
Nd 0.024 0.976 0.079
Nd 0.024 0.976 0.559
Nd 0.250 0.250 0.203
Nd 0.250 0.250 0.327
Nd 0.250 0.250 0.673
Nd 0.250 0.250 0.797
Nd 0.476 0.524 0.079
Nd 0.476 0.524 0.559
Nd 0.481 0.981 0.416
Nd 0.489 0.989 0.859
Nd 0.511 0.011 0.141
Nd 0.519 0.019 0.584
Nd 0.524 0.476 0.441
Nd 0.524 0.476 0.921
Nd 0.750 0.750 0.203
Nd 0.750 0.750 0.327
Nd 0.750 0.750 0.673
Nd 0.750 0.750 0.797
Nd 0.976 0.024 0.441
Nd 0.976 0.024 0.921
Nd 0.981 0.481 0.584
Nd 0.989 0.489 0.141
Er 0.250 0.750 0.271
Er 0.250 0.750 0.725
Er 0.750 0.250 0.275
Er 0.750 0.250 0.729
! ΔH_f (0 K) (eV/atom): 0.159
! E (eV/cell): -136.1
! Crystal system: orthorhombic

Record 2
! SnTeAu3 (PBE, relaxed); values from VASP
&SYSTEM
  ibrav = 0, nat = 5, ntyp = 3
/
ATOMIC_SPECIES
Sn 118.71 Sn.upf
Te 127.60 Te.upf
Au 196.97 Au.upf
CELL_PARAMETERS angstrom
5.292 0.000 0.000
0.000 5.292 0.000
0.000 0.000 5.292
ATOMIC_POSITIONS crystal
Sn 0.000 0.000 0.000
Te 0.500 0.500 0.500
Au 0.000 0.500 0.500
Au 0.500 0.000 0.500
Au 0.500 0.500 0.000
! E (eV/cell): -14.5
! Offset from the most stable computed form (meV/atom): 0
! Crystal system: cubic
! Formation energy from raw total energies (eV/atom): 0.505

Record 3
! KBaRh2 (PBE, relaxed); values from VASP
&SYSTEM
  ibrav = 0, nat = 8, ntyp = 3
/
ATOMIC_SPECIES
K 39.10 K.upf
Ba 137.33 Ba.upf
Rh 102.91 Rh.upf
CELL_PARAMETERS angstrom
4.513 0.000 0.000
0.000 4.992 0.000
0.000 0.000 10.954
ATOMIC_POSITIONS crystal
K 0.000 0.000 0.000
K 0.000 0.500 0.500
Ba 0.500 0.000 0.710
Ba 0.500 0.500 0.210
Rh 0.000 0.000 0.307
Rh 0.000 0.500 0.807
Rh 0.500 0.000 0.386
Rh 0.500 0.500 0.886
! ΔH_f (0 K) (eV/atom): 0.170
! E (eV/cell): -34.1
! Offset from the most stable computed form (meV/atom): 60
! Crystal system: orthorhombic

Record 4
! Na2MgBO4 (PBE, relaxed); values from VASP
&SYSTEM
  ibrav = 0, nat = 16, ntyp = 4
/
ATOMIC_SPECIES
Na 22.99 Na.upf
Mg 24.30 Mg.upf
B 10.81 B.upf
O 16.00 O.upf
CELL_PARAMETERS angstrom
5.762 0.000 0.000
0.000 5.762 0.000
0.000 0.000 5.127
ATOMIC_POSITIONS crystal
Na 0.000 0.500 0.000
Na 0.000 0.500 0.500
Na 0.500 0.000 0.000
Na 0.500 0.000 0.500
Mg 0.000 0.000 0.000
Mg 0.500 0.500 0.500
B 0.000 0.000 0.500
B 0.500 0.500 0.000
O 0.145 0.145 0.319
O 0.145 0.855 0.681
O 0.355 0.355 0.819
O 0.355 0.645 0.181
O 0.645 0.355 0.181
O 0.645 0.645 0.819
O 0.855 0.145 0.681
O 0.855 0.855 0.319
! E (eV/cell): -90.2
! Crystal system: tetragonal
! Formation energy from raw total energies (eV/atom): -1.794

Record 5
! MgAlTe2 (PBE, relaxed); values from VASP
&SYSTEM
  ibrav = 0, nat = 16, ntyp = 3
/
ATOMIC_SPECIES
Mg 24.30 Mg.upf
Al 26.98 Al.upf
Te 127.60 Te.upf
CELL_PARAMETERS angstrom
7.455 0.000 0.000
0.000 7.455 0.000
0.000 0.000 7.455
ATOMIC_POSITIONS crystal
Mg 0.000 0.000 0.000
Mg 0.000 0.500 0.500
Mg 0.500 0.000 0.500
Mg 0.500 0.500 0.000
Al 0.250 0.250 0.750
Al 0.250 0.750 0.250
Al 0.750 0.250 0.250
Al 0.750 0.750 0.750
Te 0.000 0.000 0.500
Te 0.000 0.500 0.000
Te 0.250 0.250 0.250
Te 0.250 0.750 0.750
Te 0.500 0.000 0.000
Te 0.500 0.500 0.500
Te 0.750 0.250 0.750
Te 0.750 0.750 0.250
! E (eV/cell): -43.8
! Crystal system: cubic
! Formation energy from raw total energies (eV/atom): 0.169

Record 6
! HgPdPb3 (PBE, relaxed); values from VASP
&SYSTEM
  ibrav = 0, nat = 5, ntyp = 3
/
ATOMIC_SPECIES
Hg 200.59 Hg.upf
Pd 106.42 Pd.upf
Pb 207.20 Pb.upf
CELL_PARAMETERS angstrom
5.394 0.000 0.000
0.000 5.394 0.000
0.000 0.000 5.394
ATOMIC_POSITIONS crystal
Hg 0.000 0.000 0.000
Pd 0.500 0.500 0.500
Pb 0.000 0.500 0.500
Pb 0.500 0.000 0.500
Pb 0.500 0.500 0.000
! ΔH_f (0 K) (eV/atom): 0.079
! E (eV/cell): -16.2
! Offset from the most stable computed form (meV/atom): 166
! Crystal system: cubic

Record 7
! PuTlAgI6 (PBE, relaxed); values from VASP
&SYSTEM
  ibrav = 0, nat = 18, ntyp = 4
/
ATOMIC_SPECIES
Pu 244.00 Pu.upf
Tl 204.38 Tl.upf
Ag 107.87 Ag.upf
I 126.90 I.upf
CELL_PARAMETERS angstrom
7.780 0.000 0.000
-3.890 6.738 0.000
0.000 0.000 15.216
ATOMIC_POSITIONS crystal
Pu 0.333 0.667 0.250
Pu 0.667 0.333 0.750
Tl 0.000 0.000 0.000
Tl 0.000 0.000 0.500
Ag 0.333 0.667 0.750
Ag 0.667 0.333 0.250
I 0.003 0.362 0.136
I 0.003 0.642 0.364
I 0.358 0.362 0.364
I 0.358 0.997 0.136
I 0.362 0.003 0.636
I 0.362 0.358 0.864
I 0.638 0.642 0.136
I 0.638 0.997 0.364
I 0.642 0.003 0.864
I 0.642 0.638 0.636
I 0.997 0.358 0.636
I 0.997 0.638 0.864
! E (eV/cell): -69.6
! Crystal system: trigonal
! Formation energy from raw total energies (eV/atom): -0.659

Record 8
! KMgRu (PBE, relaxed); values from VASP
&SYSTEM
  ibrav = 0, nat = 6, ntyp = 3
/
ATOMIC_SPECIES
K 39.10 K.upf
Mg 24.30 Mg.upf
Ru 101.07 Ru.upf
CELL_PARAMETERS angstrom
3.129 0.000 0.000
0.000 3.129 0.000
0.000 0.000 15.066
ATOMIC_POSITIONS crystal
K 0.000 0.000 0.000
K 0.500 0.500 0.500
Mg 0.000 0.000 0.730
Mg 0.500 0.500 0.230
Ru 0.000 0.000 0.332
Ru 0.500 0.500 0.832
! ΔH_f (0 K) (eV/atom): 0.670
! E (eV/cell): -19.9
! Offset from the most stable computed form (meV/atom): 57
! Crystal system: tetragonal